# 1
Computed, not measured: a geometry-optimized BaNaAgSnSe4 structure at the PBE level of DFT.

Computed properties:
calculated total energy = -3.933 eV/atom

Unit cell a=6.775 b=6.775 c=7.503 alpha=123.60 beta=123.60 gamma=76.94
Positions (direct):
Se 0.120 0.463 0.483
Na 0.251 0.749 0.000
Se 0.863 0.520 0.899
Sn 0.500 0.500 0.500
Se 0.537 0.880 0.517
Se 0.480 0.137 0.101
Ag 0.749 0.251 0.000
Ba 0.000 0.000 0.500

---

# 2
Computed, not measured: a geometry-optimized BaNaAgSnTe4 structure at the PBE level of DFT.

Computed properties:
calculated total energy = -3.541 eV/atom

Unit cell a=7.213 b=7.213 c=8.054 alpha=123.93 beta=123.93 gamma=75.70
Positions (direct):
Te 0.483 0.132 0.092
Na 0.251 0.749 0.000
Te 0.109 0.460 0.477
Sn 0.500 0.500 0.500
Te 0.868 0.517 0.908
Ba 0.000 0.000 0.500
Ag 0.749 0.251 0.000
Te 0.540 0.891 0.523

---

# 3
Computed, not measured: a geometry-optimized Ba2NbAg structure at the PBE level of DFT.

Computed properties:
magnetic moment = 0.866 μB/atom
calculated total energy = -3.407 eV/atom

Unit cell a=5.476 b=5.476 c=5.476 alpha=60.00 beta=60.00 gamma=60.00
Positions (direct):
Nb 0.750 0.750 0.750
Ba 0.250 0.250 0.250
Ag 0.500 0.500 0.500
Ba 0.000 0.000 0.000

---

# 4
Computed, not measured: a geometry-optimized BaNbAg structure at the PBE level of DFT.

Computed properties:
magnetic moment = 0.851 μB/atom
energy relative to the lowest polymorph listed for this composition = 0 meV/atom
calculated total energy = -3.715 eV/atom

Unit cell a=5.023 b=5.023 c=5.023 alpha=60.00 beta=60.00 gamma=60.00
Positions (direct):
Ag 0.250 0.250 0.250
Nb 0.000 0.000 0.000
Ba 0.750 0.750 0.750

---

# 5
Computed, not measured: a geometry-optimized BaNbAg structure at the PBE level of DFT.

Computed properties:
magnetic moment = 1.420 μB/atom
energy relative to the lowest polymorph listed for this composition = 316 meV/atom
calculated total energy = -3.399 eV/atom

Unit cell a=5.316 b=5.316 c=5.316 alpha=60.00 beta=60.00 gamma=60.00
Positions (direct):
Nb 0.750 0.750 0.750
Ag 0.250 0.250 0.250
Ba 0.000 0.000 0.000

---

# 6
Computed, not measured: a geometry-optimized BaNb2Ag structure at the PBE level of DFT.

Computed properties:
magnetic moment = 0.008 μB/atom
calculated total energy = -5.366 eV/atom

Unit cell a=5.035 b=5.035 c=5.035 alpha=60.00 beta=60.00 gamma=60.00
Positions (direct):
Nb 0.250 0.250 0.250
Nb 0.500 0.500 0.500
Ba 0.000 0.000 0.000
Ag 0.750 0.750 0.750

---

# 7
Computed, not measured: a geometry-optimized BaNdAg2P2 structure at the PBE level of DFT.

Computed properties:
magnetic moment = 0.002 μB/atom
calculated total energy = -4.588 eV/atom

Unit cell a=4.384 b=4.384 c=8.691 alpha=90.00 beta=90.00 gamma=120.00
Positions (direct):
P 0.333 0.667 0.472
Ba 0.000 0.000 0.750
P 0.667 0.333 0.027
Nd 0.000 0.000 0.250
Ag 0.333 0.667 0.026
Ag 0.667 0.333 0.474

---

# 8
Computed, not measured: a geometry-optimized BaNdAgSeS2 structure at the PBE level of DFT.

Computed properties:
magnetic moment = 0.000 μB/atom
calculated total energy = -5.124 eV/atom

Unit cell a=7.420 b=7.420 c=10.915 alpha=90.00 beta=90.00 gamma=146.93
Positions (direct):
S 0.869 0.131 0.062
S 0.131 0.869 0.938
S 0.869 0.131 0.438
Nd 0.500 0.500 0.500
S 0.131 0.869 0.562
Nd 0.500 0.500 0.000
Ag 0.973 0.027 0.250
Se 0.412 0.588 0.750
Ba 0.260 0.740 0.250
Se 0.588 0.412 0.250
Ag 0.027 0.973 0.750
Ba 0.740 0.260 0.750

---

# 9
Computed, not measured: a geometry-optimized BaNdAgTeS2 structure at the PBE level of DFT.

Computed properties:
magnetic moment = 0.001 μB/atom
calculated total energy = -4.950 eV/atom

Unit cell a=7.786 b=7.786 c=11.431 alpha=90.00 beta=90.00 gamma=148.26
Positions (direct):
Te 0.897 0.103 0.250
Nd 0.000 0.000 0.500
Ba 0.214 0.786 0.250
Te 0.103 0.897 0.750
Nd 0.000 0.000 0.000
Ag 0.516 0.484 0.250
Ba 0.786 0.214 0.750
S 0.619 0.381 0.072
S 0.619 0.381 0.428
Ag 0.484 0.516 0.750
S 0.381 0.619 0.572
S 0.381 0.619 0.928

---

# 10
Computed, not measured: a geometry-optimized BaNdAgTe2Se structure at the PBE level of DFT.

Computed properties:
magnetic moment = 0.001 μB/atom
calculated total energy = -4.593 eV/atom

Unit cell a=7.864 b=7.864 c=11.217 alpha=90.00 beta=90.00 gamma=146.59
Positions (direct):
Te 0.855 0.145 0.056
Se 0.574 0.426 0.250
Ba 0.236 0.764 0.250
Te 0.855 0.145 0.444
Ag 0.028 0.972 0.750
Nd 0.500 0.500 0.000
Ba 0.764 0.236 0.750
Ag 0.972 0.028 0.250
Te 0.145 0.855 0.556
Nd 0.500 0.500 0.500
Te 0.145 0.855 0.944
Se 0.426 0.574 0.750

---

# 11
Computed, not measured: a geometry-optimized BaNiAg2Se3S structure at the PBE level of DFT.

Computed properties:
magnetic moment = 0.211 μB/atom
calculated total energy = -3.990 eV/atom

Unit cell a=6.244 b=6.393 c=6.409 alpha=101.99 beta=110.33 gamma=115.31
Positions (direct):
Se 0.010 0.164 0.541
Ni 0.036 0.534 0.521
Ag 0.495 0.794 0.283
Se 0.976 0.521 0.140
S 0.384 0.850 0.864
Se 0.616 0.460 0.458
Ba 0.989 0.991 0.992
Ag 0.494 0.185 0.702

---

# 12
Computed, not measured: a geometry-optimized BaNiAgSe3 structure at the PBE level of DFT.

Computed properties:
magnetic moment = 0.001 μB/atom
calculated total energy = -4.118 eV/atom

Unit cell a=7.735 b=4.131 c=9.369 alpha=90.00 beta=109.76 gamma=90.00
Positions (direct):
Se 0.792 0.750 0.070
Se 0.387 0.750 0.605
Ba 0.737 0.250 0.772
Ag 0.414 0.750 0.893
Ba 0.263 0.750 0.228
Ni 0.166 0.250 0.649
Se 0.208 0.250 0.930
Se 0.613 0.250 0.395
Se 0.977 0.750 0.617
Ag 0.586 0.250 0.107
Se 0.023 0.250 0.383
Ni 0.834 0.750 0.351